# 1
The following is a GGA-PBE calculation of a relaxed structure of SrMg4Au, from the Alexandria database.

abc: 8.913 4.445 7.823
angles: 90.00 90.00 90.00
Element x y z (fractional)
Sr1 0.250 0.000 0.099
Sr2 0.750 0.000 0.901
Mg1 0.000 0.000 0.500
Mg2 0.063 0.500 0.792
Mg3 0.250 0.500 0.453
Mg4 0.437 0.500 0.792
Mg5 0.500 0.000 0.500
Mg6 0.563 0.500 0.208
Mg7 0.750 0.500 0.547
Mg8 0.937 0.500 0.208
Au1 0.250 0.000 0.694
Au2 0.750 0.000 0.306

Values from the calculation:
Spin magnetization, μB/f.u.: 0.00
ΔH_f (0 K), eV per atom: -0.33
Offset from the most stable computed form, meV per atom: 0
Calculated total energy, eV for the cell shown: -26.60


# 2
The following is a GGA-PBE calculation of a relaxed structure of SrMg3Au2, from the Alexandria database.

abc: 10.486 10.486 4.471
angles: 90.00 90.00 120.00
Element x y z (fractional)
Sr1 0.000 0.000 0.000
Sr2 0.333 0.667 0.500
Sr3 0.667 0.333 0.500
Mg1 0.000 0.295 0.500
Mg2 0.000 0.500 0.000
Mg3 0.000 0.705 0.500
Mg4 0.295 0.000 0.500
Mg5 0.295 0.295 0.500
Mg6 0.500 0.000 0.000
Mg7 0.500 0.500 0.000
Mg8 0.705 0.000 0.500
Mg9 0.705 0.705 0.500
Au1 0.191 0.382 0.000
Au2 0.191 0.809 0.000
Au3 0.382 0.191 0.000
Au4 0.618 0.809 0.000
Au5 0.809 0.191 0.000
Au6 0.809 0.618 0.000

Values from the calculation:
Spin magnetization, μB/f.u.: 0.00
ΔH_f (0 K), eV per atom: -0.56
Calculated total energy, eV for the cell shown: -49.15


# 3
The following is a GGA-PBE calculation of a relaxed structure of SrMgAu, from the Alexandria database.

abc: 5.243 5.243 5.243
angles: 60.00 60.00 60.00
Element x y z (fractional)
Sr1 0.000 0.000 0.000
Mg1 0.750 0.750 0.750
Au1 0.250 0.250 0.250

Values from the calculation:
Spin magnetization, μB/f.u.: 0.00
ΔH_f (0 K), eV per atom: 0.02
Calculated total energy, eV for the cell shown: -6.49


# 4
The following is a GGA-PBE calculation of a relaxed structure of SrMg2Au, from the Alexandria database.

abc: 6.657 6.657 3.638
angles: 105.05 105.05 124.47
Element x y z (fractional)
Sr1 0.000 0.000 0.000
Mg1 0.000 0.500 0.500
Mg2 0.500 0.000 0.500
Au1 0.500 0.500 0.000

Values from the calculation:
Spin magnetization, μB/f.u.: 0.00
ΔH_f (0 K), eV per atom: -0.14
Calculated total energy, eV for the cell shown: -8.70


# 5
The following is a GGA-PBE calculation of a relaxed structure of Sr3Mg7Au4, from the Alexandria database.

abc: 8.875 8.875 10.665
angles: 123.08 123.08 30.24
Element x y z (fractional)
Sr1 0.000 0.000 0.000
Sr2 0.307 0.307 0.296
Sr3 0.693 0.693 0.704
Mg1 0.000 0.000 0.500
Mg2 0.164 0.164 0.427
Mg3 0.319 0.319 0.981
Mg4 0.491 0.491 0.706
Mg5 0.509 0.509 0.294
Mg6 0.681 0.681 0.019
Mg7 0.836 0.836 0.573
Au1 0.113 0.113 0.828
Au2 0.337 0.337 0.727
Au3 0.663 0.663 0.273
Au4 0.887 0.887 0.172

Values from the calculation:
Spin magnetization, μB/f.u.: 0.00
ΔH_f (0 K), eV per atom: -0.51
Calculated total energy, eV for the cell shown: -36.47


# 6
The following is a GGA-PBE calculation of a relaxed structure of SrMg2Au, from the Alexandria database.

abc: 3.627 3.627 7.918
angles: 90.00 90.00 90.00
Element x y z (fractional)
Sr1 0.000 0.000 0.000
Mg1 0.000 0.000 0.428
Mg2 0.500 0.500 0.663
Au1 0.500 0.500 0.271

Values from the calculation:
Spin magnetization, μB/f.u.: 0.00
ΔH_f (0 K), eV per atom: -0.34
Calculated total energy, eV for the cell shown: -9.51


# 7
The following is a GGA-PBE calculation of a relaxed structure of Sr2MgAu, from the Alexandria database.

abc: 4.702 4.702 8.276
angles: 106.53 106.53 60.14
Element x y z (fractional)
Sr1 0.000 0.000 0.000
Sr2 0.183 0.183 0.545
Mg1 0.758 0.758 0.274
Au1 0.423 0.423 0.271

Values from the calculation:
Spin magnetization, μB/f.u.: 0.00
ΔH_f (0 K), eV per atom: -0.40
Calculated total energy, eV for the cell shown: -9.84


# 8
The following is a GGA-PBE calculation of a relaxed structure of SrMg2Au, from the Alexandria database.

abc: 16.818 8.266 6.048
angles: 90.00 90.00 90.00
Element x y z (fractional)
Sr1 0.106 0.250 0.230
Sr2 0.136 0.750 0.036
Sr3 0.364 0.250 0.536
Sr4 0.394 0.750 0.730
Sr5 0.606 0.250 0.270
Sr6 0.636 0.750 0.464
Sr7 0.864 0.250 0.964
Sr8 0.894 0.750 0.770
Mg1 0.042 0.059 0.723
Mg2 0.042 0.441 0.723
Mg3 0.211 0.558 0.534
Mg4 0.211 0.942 0.534
Mg5 0.289 0.058 0.034
Mg6 0.289 0.442 0.034
Mg7 0.458 0.559 0.223
Mg8 0.458 0.941 0.223
Mg9 0.542 0.059 0.777
Mg10 0.542 0.441 0.777
Mg11 0.711 0.558 0.966
Mg12 0.711 0.942 0.966
Mg13 0.789 0.058 0.466
Mg14 0.789 0.442 0.466
Mg15 0.958 0.559 0.277
Mg16 0.958 0.941 0.277
Au1 0.069 0.750 0.529
Au2 0.186 0.250 0.745
Au3 0.314 0.750 0.245
Au4 0.431 0.250 0.029
Au5 0.569 0.750 0.971
Au6 0.686 0.250 0.755
Au7 0.814 0.750 0.255
Au8 0.931 0.250 0.471

Values from the calculation:
Spin magnetization, μB/f.u.: 0.00
ΔH_f (0 K), eV per atom: -0.48
Calculated total energy, eV for the cell shown: -80.44


# 9
The following is a GGA-PBE calculation of a relaxed structure of SrMgAu, from the Alexandria database.

abc: 6.460 6.460 6.460
angles: 147.01 147.01 47.35
Element x y z (fractional)
Sr1 0.000 0.000 0.000
Mg1 0.281 0.281 0.000
Au1 0.678 0.678 0.000

Values from the calculation:
Spin magnetization, μB/f.u.: 0.00
ΔH_f (0 K), eV per atom: -0.46
Calculated total energy, eV for the cell shown: -7.94


# 10
The following is a GGA-PBE calculation of a relaxed structure of Sr8Mg2Au, from the Alexandria database.

abc: 10.925 10.925 7.841
angles: 106.48 106.48 31.70
Element x y z (fractional)
Sr1 0.022 0.022 0.287
Sr2 0.210 0.210 0.800
Sr3 0.353 0.353 0.537
Sr4 0.408 0.408 0.073
Sr5 0.592 0.592 0.927
Sr6 0.647 0.647 0.463
Sr7 0.790 0.790 0.200
Sr8 0.978 0.978 0.713
Mg1 0.184 0.184 0.231
Mg2 0.816 0.816 0.769
Au1 0.500 0.500 0.500

Values from the calculation:
Spin magnetization, μB/f.u.: 0.00
ΔH_f (0 K), eV per atom: -0.13
Calculated total energy, eV for the cell shown: -21.38


# 11
The following is a GGA-PBE calculation of a relaxed structure of SrMg2Au, from the Alexandria database.

abc: 6.066 6.066 6.066
angles: 135.95 135.95 64.05
Element x y z (fractional)
Sr1 0.000 0.000 0.000
Mg1 0.250 0.750 0.500
Mg2 0.750 0.250 0.500
Au1 0.500 0.500 0.000

Values from the calculation:
Spin magnetization, μB/f.u.: 0.00
ΔH_f (0 K), eV per atom: -0.19
Calculated total energy, eV for the cell shown: -8.92


# 12
The following is a GGA-PBE calculation of a relaxed structure of Sr2MgAu, from the Alexandria database.

abc: 3.804 3.804 9.040
angles: 90.00 90.00 90.00
Element x y z (fractional)
Sr1 0.000 0.000 0.000
Sr2 0.500 0.500 0.381
Mg1 0.500 0.500 0.739
Au1 0.000 0.000 0.608

Values from the calculation:
Spin magnetization, μB/f.u.: 0.00
ΔH_f (0 K), eV per atom: -0.35
Calculated total energy, eV for the cell shown: -9.64


# 13
The following is a GGA-PBE calculation of a relaxed structure of SrMg3Au3, from the Alexandria database.

abc: 7.365 7.365 7.365
angles: 90.00 90.00 90.00
Element x y z (fractional)
Sr1 0.000 0.000 0.000
Sr2 0.500 0.500 0.500
Mg1 0.000 0.250 0.500
Mg2 0.000 0.750 0.500
Mg3 0.250 0.500 0.000
Mg4 0.500 0.000 0.250
Mg5 0.500 0.000 0.750
Mg6 0.750 0.500 0.000
Au1 0.000 0.500 0.250
Au2 0.000 0.500 0.750
Au3 0.250 0.000 0.500
Au4 0.500 0.250 0.000
Au5 0.500 0.750 0.000
Au6 0.750 0.000 0.500

Values from the calculation:
Spin magnetization, μB/f.u.: 0.00
ΔH_f (0 K), eV per atom: -0.31
Offset from the most stable computed form, meV per atom: 242
Calculated total energy, eV for the cell shown: -36.88


# 14
The following is a GGA-PBE calculation of a relaxed structure of SrMg2Au, from the Alexandria database.

abc: 4.788 4.788 6.329
angles: 112.26 112.26 59.83
Element x y z (fractional)
Sr1 0.000 0.000 0.000
Mg1 0.200 0.200 0.603
Mg2 0.468 0.468 0.407
Au1 0.807 0.807 0.426

Values from the calculation:
Spin magnetization, μB/f.u.: 0.00
ΔH_f (0 K), eV per atom: -0.40
Calculated total energy, eV for the cell shown: -9.73


# 15
The following is a GGA-PBE calculation of a relaxed structure of SrMgAu, from the Alexandria database.

abc: 7.932 4.548 4.548
angles: 89.99 90.00 90.00
Element x y z (fractional)
Sr1 0.152 0.250 0.750
Sr2 0.848 0.750 0.250
Mg1 0.500 0.249 0.249
Mg2 0.500 0.749 0.749
Au1 0.285 0.750 0.250
Au2 0.715 0.250 0.750

Values from the calculation:
Spin magnetization, μB/f.u.: 0.00
ΔH_f (0 K), eV per atom: -0.61
Calculated total energy, eV for the cell shown: -16.75


# 16
The following is a GGA-PBE calculation of a relaxed structure of SrMg11Au, from the Alexandria database.

abc: 7.885 7.885 7.825
angles: 97.02 97.02 137.46
Element x y z (fractional)
Sr1 0.000 0.000 0.000
Mg1 0.000 0.000 0.500
Mg2 0.000 0.500 0.000
Mg3 0.005 0.354 0.360
Mg4 0.295 0.507 0.776
Mg5 0.354 0.005 0.360
Mg6 0.493 0.705 0.224
Mg7 0.500 0.000 0.000
Mg8 0.507 0.295 0.776
Mg9 0.646 0.995 0.640
Mg10 0.705 0.493 0.224
Mg11 0.995 0.646 0.640
Au1 0.500 0.500 0.500

Values from the calculation:
Spin magnetization, μB/f.u.: 0.00
ΔH_f (0 K), eV per atom: -0.15
Calculated total energy, eV for the cell shown: -24.39


# 17
The following is a GGA-PBE calculation of a relaxed structure of Sr2MgAu, from the Alexandria database.

abc: 3.949 3.926 8.303
angles: 90.00 90.15 90.00
Element x y z (fractional)
Sr1 0.001 0.000 0.222
Sr2 0.999 0.000 0.778
Mg1 0.500 0.500 0.500
Au1 0.500 0.500 0.000

Values from the calculation:
Spin magnetization, μB/f.u.: 0.00
ΔH_f (0 K), eV per atom: -0.39
Calculated total energy, eV for the cell shown: -9.81


# 18
The following is a GGA-PBE calculation of a relaxed structure of Sr2MgAu, from the Alexandria database.

abc: 7.348 7.348 7.348
angles: 104.32 104.32 120.34
Element x y z (fractional)
Sr1 0.077 0.625 0.952
Sr2 0.375 0.327 0.452
Sr3 0.673 0.125 0.048
Sr4 0.875 0.923 0.548
Mg1 0.250 0.750 0.500
Mg2 0.500 0.500 0.000
Au1 0.000 0.000 0.000
Au2 0.750 0.250 0.500

Values from the calculation:
Spin magnetization, μB/f.u.: 0.00
ΔH_f (0 K), eV per atom: -0.16
Calculated total energy, eV for the cell shown: -17.72


# 19
The following is a GGA-PBE calculation of a relaxed structure of Sr2Mg6Au3, from the Alexandria database.

abc: 8.526 8.526 4.468
angles: 90.00 90.00 120.00
Element x y z (fractional)
Sr1 0.333 0.667 0.000
Sr2 0.667 0.333 0.000
Mg1 0.000 0.204 0.000
Mg2 0.000 0.707 0.500
Mg3 0.204 0.000 0.000
Mg4 0.293 0.293 0.500
Mg5 0.707 0.000 0.500
Mg6 0.796 0.796 0.000
Au1 0.000 0.382 0.500
Au2 0.382 0.000 0.500
Au3 0.618 0.618 0.500

Values from the calculation:
Spin magnetization, μB/f.u.: 0.00
ΔH_f (0 K), eV per atom: -0.43
Calculated total energy, eV for the cell shown: -27.44


# 20
The following is a GGA-PBE calculation of a relaxed structure of SrMg2Au, from the Alexandria database.

abc: 5.117 5.117 5.117
angles: 60.00 60.00 60.00
Element x y z (fractional)
Sr1 0.000 0.000 0.000
Mg1 0.250 0.250 0.250
Mg2 0.750 0.750 0.750
Au1 0.500 0.500 0.500

Values from the calculation:
Spin magnetization, μB/f.u.: 0.00
ΔH_f (0 K), eV per atom: -0.21
Calculated total energy, eV for the cell shown: -8.98